Entry 1:
Compound: V5P6WO24
Source: Alexandria
Functional: meta-GGA SCAN
Structure: PBEsol geometry

Properties
* calculated volume: 430.5 Å³/cell
* uncorrected formation energy: -8593 kJ/mol of formula units
* space-group type: R3
* E_tot: -458.13 eV/cell

Unit cell a=8.3279 b=8.3279 c=8.3279 alpha=62.43 beta=62.43 gamma=62.43
With the nearest neighbours (Å) after each atom.
Positions (direct):
O 0.5983 0.2452 0.4433  1 P 1.56
O 0.4433 0.5983 0.2452  1 P 1.56
O 0.6773 0.8865 0.5035  1 P 1.51
O 0.1816 0.9941 0.3813  1 P 1.51
O 0.5538 0.4106 0.7553  1 P 1.56
O 0.1015 0.9391 0.7367  1 P 1.60
O 0.7367 0.1015 0.9391  1 P 1.60
O 0.1149 0.4976 0.3247  1 P 1.51
O 0.0023 0.6132 0.8265  1 P 1.55
O 0.9055 0.0555 0.2542  1 P 1.56
O 0.2542 0.9055 0.0555  1 P 1.56
O 0.2452 0.4433 0.5983  1 P 1.56
O 0.0555 0.2542 0.9055  1 P 1.56
O 0.9941 0.3813 0.1816  1 P 1.51
O 0.9391 0.7367 0.1015  1 P 1.60
O 0.7553 0.5538 0.4106  1 P 1.56
O 0.4106 0.7553 0.5538  1 P 1.56
O 0.5035 0.6773 0.8865  1 P 1.51
O 0.4976 0.3247 0.1149  1 P 1.51
O 0.3247 0.1149 0.4976  1 P 1.51
O 0.8265 0.0023 0.6132  1 P 1.55
O 0.3813 0.1816 0.9941  1 P 1.51
O 0.8865 0.5035 0.6773  1 P 1.51
O 0.6132 0.8265 0.0023  1 P 1.55
P 0.4543 0.7509 0.0438  4 O 1.51-1.56
P 0.0438 0.4543 0.7509  4 O 1.51-1.56
P 0.5305 0.2597 0.9578  4 O 1.51-1.60
P 0.2597 0.9578 0.5305  4 O 1.51-1.60
P 0.7509 0.0438 0.4543  4 O 1.51-1.56
P 0.9578 0.5305 0.2597  4 O 1.51-1.60
W 0.8643 0.8643 0.8643  6 O 1.96-2.00
V 0.1380 0.1380 0.1380  6 O 1.92-2.01
V 0.9951 0.9951 0.9951  6 O 2.10-2.15
V 0.6409 0.6409 0.6409  6 O 1.92-2.02
V 0.3619 0.3619 0.3619  6 O 1.93-2.03
V 0.5005 0.5005 0.5005  6 O 2.09-2.10

---

Entry 2:
Compound: V3P4WO20
Source: Alexandria
Functional: meta-GGA SCAN
Structure: PBEsol geometry

Properties
* calculated volume: 316.6 Å³/cell
* uncorrected formation energy: -6598 kJ/mol of formula units
* space-group type: P2
* E_tot: -356.75 eV/cell

Unit cell a=4.1938 b=6.1417 c=12.2925 alpha=90.01 beta=90.00 gamma=90.00
With the nearest neighbours (Å) after each atom.
Positions (direct):
P 0.5174 0.5000 0.0000  4 O 1.50-1.57
P 0.5075 0.0022 0.7457  4 O 1.52-1.59
P 0.5075 0.9978 0.2543  4 O 1.52-1.59
P 0.4966 0.5000 0.5000  4 O 1.53-1.54
W 0.2105 0.0000 0.0000  5 O 1.74-1.91
O 0.7127 0.1992 0.2687  1 P 1.52
O 0.1761 0.4997 0.7484  1 V 1.60
O 0.7104 0.4599 0.5997  1 P 1.54
O 0.7135 0.4567 0.1002  1 P 1.50
O 0.2889 0.0373 0.1503  1 P 1.59
O 0.7127 0.8008 0.7313  1 P 1.52
O 0.2889 0.9627 0.8497  1 P 1.59
O 0.7104 0.5401 0.4003  1 P 1.54
O 0.2848 0.9587 0.3496  1 P 1.52
O 0.2848 0.0413 0.6504  1 P 1.52
O 0.7098 0.7992 0.2270  1 P 1.52
O 0.7098 0.2008 0.7730  1 P 1.52
O 0.7135 0.5433 0.8998  1 P 1.50
O 0.2868 0.6967 0.0196  1 P 1.57
O 0.1761 0.5003 0.2516  1 V 1.60
O 0.7951 0.0000 0.0000  1 W 1.74
O 0.2888 0.2983 0.4804  1 P 1.53
O 0.8253 0.0000 0.5000  1 V 1.59
O 0.2868 0.3033 0.9804  1 P 1.57
O 0.2888 0.7017 0.5196  1 P 1.53
V 0.7955 0.5002 0.2541  1 O 1.60
V 0.7955 0.4998 0.7459  1 O 1.60
V 0.2054 0.0000 0.5000  1 O 1.59